Computed, not measured: a PBEsol-optimized structure of SiSnS2Cl at the SCAN level of DFT.

Summary:
The space group is P4/mmm. The raw formation energy is -0.20 eV per atom.

Unit cell a=4.6401 b=4.6401 c=4.6178 alpha=90.00 beta=90.00 gamma=90.00
Closest atoms and distances in Å follow each position.
Element x y z (fractional)
1 Si 0.0000 0.0000 0.0000  2 Cl 2.31, 4 S 2.32
2 Sn 0.5000 0.5000 0.5000  8 S 3.27, 4 Cl 3.28
3 S 0.0000 0.5000 0.0000  2 Si 2.32
4 S 0.5000 0.0000 0.0000  2 Si 2.32
5 Cl 0.0000 0.0000 0.5000  2 Si 2.31